No. 1
VASP calculation (PBE-GGA) on an optimized crystal structure of CsRbHgBi.

a = 3.9968 Å, b = 8.6855 Å, c = 6.8834 Å
α = 131.27°, β = 90.00°, γ = 90.00°
Closest atoms and distances in Å follow each position.
Sites, in units of the cell vectors:
Cs 0.5000 0.2613 0.5399  4 Hg 3.89-4.03, 2 Cs 4.00, 4 Bi 4.03-4.06, 1 Rb 4.26
Rb 0.5000 0.8515 0.7176  4 Bi 3.91-3.95, 4 Hg 3.98-4.14, 2 Rb 4.00, 1 Cs 4.26
Hg 0.0000 0.7269 0.1280  1 Bi 3.10
Bi 0.0000 0.3738 0.1363  1 Hg 3.10

* relative energy among the computed polymorphs: 0.0 meV/atom
* E_form: -0.274 eV per atom
* total energy: -1.775 eV/atom
* symmetry: Pm, No. 6
* volume: 180 Å³/f.u.

No. 2
VASP calculation (PBE-GGA) on an optimized crystal structure of Tb3PmPt2.

a = 4.8110 Å, b = 7.2300 Å, c = 8.8963 Å
α = 90.00°, β = 90.00°, γ = 90.00°
Closest atoms and distances in Å follow each position.
Sites, in units of the cell vectors:
Tb 0.0000 0.4915 0.9191  3 Pt 2.85-3.09
Tb 0.0000 0.9915 0.0809  3 Pt 2.85-3.09
Tb 0.5000 0.6442 0.1657  4 Pt 2.89-2.96
Tb 0.5000 0.1442 0.8343  4 Pt 2.89-2.96
Tb 0.0000 0.3566 0.3295  4 Pt 2.88-3.05
Tb 0.0000 0.8566 0.6705  4 Pt 2.88-3.05
Pm 0.5000 0.5083 0.5814  3 Pt 2.89-3.11
Pm 0.5000 0.0083 0.4186  3 Pt 2.89-3.11
Pt 0.5000 0.7442 0.8438  1 Pm 2.89, 6 Tb 2.89-3.09
Pt 0.5000 0.2442 0.1562  1 Pm 2.89, 6 Tb 2.89-3.09
Pt 0.0000 0.2552 0.6623  5 Tb 2.85-3.05, 2 Pm 3.11
Pt 0.0000 0.7552 0.3377  5 Tb 2.85-3.05, 2 Pm 3.11

* relative energy among the computed polymorphs: 0.0 meV/atom
* E_form: -0.915 eV per atom
* total energy: -6.035 eV/atom
* symmetry: Pmc2_1, No. 26
* volume: 155 Å³/f.u.

No. 3
VASP calculation (PBE-GGA) on an optimized crystal structure of TlFeTeN2.

a = 4.2131 Å, b = 4.2131 Å, c = 6.5336 Å
α = 90.00°, β = 90.00°, γ = 90.00°
Closest atoms and distances in Å follow each position.
Sites, in units of the cell vectors:
Tl 0.0000 0.0000 0.0000  4 N 2.11
Te 0.0000 0.0000 0.5000  4 Fe 2.98, 2 Tl 3.27
Fe 0.5000 0.5000 0.5000  4 Te 2.98
N 0.0000 0.5000 0.0000  2 Tl 2.11
N 0.5000 0.0000 0.0000  2 Tl 2.11

* relative energy among the computed polymorphs: 952.6 meV/atom
* formation energy without anion corrections: 2.031 eV/atom
* total energy: -4.093 eV/atom
* symmetry: P4/mmm, No. 123
* volume: 116 Å³/f.u.